! ErTm4Lu2Ni2S2 | the Open Quantum Materials Database | GGA-PBE | relaxed; values from VASP
&SYSTEM
  ibrav = 0, nat = 11, ntyp = 5
/
ATOMIC_SPECIES
Er 167.26 Er.upf
Tm 168.93 Tm.upf
Lu 174.97 Lu.upf
Ni 58.69 Ni.upf
S 32.06 S.upf
CELL_PARAMETERS angstrom
-1.853 7.272 4.504
1.853 -7.272 4.504
1.853 7.272 -4.504
ATOMIC_POSITIONS angstrom
Er 0.000 0.000 0.000
Tm 1.853 -1.971 2.256
Tm 1.853 1.971 2.256
Tm 1.853 5.514 0.856
Tm 0.000 1.758 5.360
Lu 1.853 2.683 -1.014
Lu 0.000 4.589 3.491
Ni 0.000 3.478 0.756
Ni 0.000 11.065 0.756
S 0.000 0.000 3.116
S 0.000 7.272 2.260
! * total magnetization: 0.0 μB per formula unit
! * total DFT energy (no corrections): -60.5 eV for the cell shown



! Er2TmLu4Ni2S2 | the Open Quantum Materials Database | GGA-PBE | relaxed; values from VASP
&SYSTEM
  ibrav = 0, nat = 11, ntyp = 5
/
ATOMIC_SPECIES
Er 167.26 Er.upf
Tm 168.93 Tm.upf
Lu 174.97 Lu.upf
Ni 58.69 Ni.upf
S 32.06 S.upf
CELL_PARAMETERS angstrom
-1.850 7.257 4.511
1.850 -7.257 4.511
1.850 7.257 -4.511
ATOMIC_POSITIONS angstrom
Er 0.000 1.753 0.000
Er 0.000 12.760 0.000
Tm 0.000 0.000 3.657
Lu 1.850 -2.695 2.645
Lu 1.850 2.695 2.645
Lu 0.000 5.307 1.398
Lu 0.000 9.207 1.398
Ni 1.850 3.802 -0.083
Ni 0.000 3.454 4.428
S 1.850 0.000 1.437
S 0.000 0.000 6.750
! * total magnetization: 0.0 μB per formula unit
! * total DFT energy (no corrections): -60.7 eV for the cell shown



! ErLuScSi3Ni | the Open Quantum Materials Database | GGA-PBE | relaxed; values from VASP
&SYSTEM
  ibrav = 0, nat = 14, ntyp = 5
/
ATOMIC_SPECIES
Er 167.26 Er.upf
Lu 174.97 Lu.upf
Sc 44.96 Sc.upf
Si 28.09 Si.upf
Ni 58.69 Ni.upf
CELL_PARAMETERS angstrom
5.037 -2.050 0.000
5.037 2.050 0.000
-4.708 0.000 12.309
ATOMIC_POSITIONS angstrom
Er -0.954 0.000 5.163
Er 6.320 0.000 7.146
Lu -3.869 0.000 10.822
Lu 9.234 0.000 1.487
Sc -0.975 0.000 8.968
Sc 6.341 0.000 3.342
Si -0.819 0.000 11.745
Si 1.875 0.000 5.180
Si 3.337 0.000 3.222
Si 2.029 0.000 9.088
Si 3.491 0.000 7.129
Si 6.185 0.000 0.565
Ni 2.096 0.000 1.179
Ni 3.270 0.000 11.130
! * total magnetization: 0.0 μB per formula unit
! * polymorph energy (0 for the lowest one): 0.000 eV per atom
! * total DFT energy (no corrections): -86.3 eV for the cell shown



! ErLuScSi3Ni | the Open Quantum Materials Database | GGA-PBE | relaxed; values from VASP
&SYSTEM
  ibrav = 0, nat = 14, ntyp = 5
/
ATOMIC_SPECIES
Er 167.26 Er.upf
Lu 174.97 Lu.upf
Sc 44.96 Sc.upf
Si 28.09 Si.upf
Ni 58.69 Ni.upf
CELL_PARAMETERS angstrom
5.009 -2.047 0.000
5.009 2.047 0.000
-4.500 0.000 12.350
ATOMIC_POSITIONS angstrom
Er 1.476 0.000 2.751
Er 4.043 0.000 9.599
Lu -1.405 0.000 4.673
Lu 6.924 0.000 7.677
Sc -3.165 0.000 11.398
Sc 8.684 0.000 0.952
Si 1.596 0.000 5.635
Si -0.346 0.000 11.472
Si 1.121 0.000 9.491
Si 4.398 0.000 2.858
Si 5.865 0.000 0.877
Si 3.923 0.000 6.715
Ni -0.156 0.000 7.400
Ni 5.675 0.000 4.950
! * total magnetization: 0.0 μB per formula unit
! * polymorph energy (0 for the lowest one): 0.007 eV per atom
! * total DFT energy (no corrections): -86.2 eV for the cell shown



! ErLuScSi3Ni | the Open Quantum Materials Database | GGA-PBE | relaxed; values from VASP
&SYSTEM
  ibrav = 0, nat = 14, ntyp = 5
/
ATOMIC_SPECIES
Er 167.26 Er.upf
Lu 174.97 Lu.upf
Sc 44.96 Sc.upf
Si 28.09 Si.upf
Ni 58.69 Ni.upf
CELL_PARAMETERS angstrom
5.080 -2.036 0.000
5.080 2.036 0.000
-4.481 0.000 12.316
ATOMIC_POSITIONS angstrom
Er -0.837 0.000 5.159
Er 6.516 0.000 7.157
Lu -0.772 0.000 9.010
Lu 6.451 0.000 3.306
Sc -3.667 0.000 10.870
Sc 9.346 0.000 1.446
Si -0.535 0.000 11.808
Si 2.033 0.000 5.195
Si 3.482 0.000 3.156
Si 2.197 0.000 9.160
Si 3.646 0.000 7.121
Si 6.213 0.000 0.509
Ni 2.150 0.000 1.128
Ni 3.529 0.000 11.188
! * total magnetization: 0.0 μB per formula unit
! * polymorph energy (0 for the lowest one): 0.009 eV per atom
! * total DFT energy (no corrections): -86.2 eV for the cell shown



! ErLuScSi3Ni | the Open Quantum Materials Database | GGA-PBE | relaxed; values from VASP
&SYSTEM
  ibrav = 0, nat = 14, ntyp = 5
/
ATOMIC_SPECIES
Er 167.26 Er.upf
Lu 174.97 Lu.upf
Sc 44.96 Sc.upf
Si 28.09 Si.upf
Ni 58.69 Ni.upf
CELL_PARAMETERS angstrom
5.016 -2.057 0.000
5.016 2.057 0.000
-4.563 0.000 12.335
ATOMIC_POSITIONS angstrom
Er -1.430 0.000 4.643
Er 6.899 0.000 7.692
Lu 1.472 0.000 2.730
Lu 3.998 0.000 9.605
Sc -3.234 0.000 11.384
Sc 8.703 0.000 0.951
Si 1.552 0.000 5.622
Si -0.425 0.000 11.467
Si 1.058 0.000 9.509
Si 4.411 0.000 2.826
Si 5.894 0.000 0.869
Si 3.918 0.000 6.713
Ni -0.201 0.000 7.430
Ni 5.671 0.000 4.905
! * total magnetization: 0.0 μB per formula unit
! * polymorph energy (0 for the lowest one): 0.007 eV per atom
! * total DFT energy (no corrections): -86.2 eV for the cell shown



! ErLuScSi3Ni | the Open Quantum Materials Database | GGA-PBE | relaxed; values from VASP
&SYSTEM
  ibrav = 0, nat = 14, ntyp = 5
/
ATOMIC_SPECIES
Er 167.26 Er.upf
Lu 174.97 Lu.upf
Sc 44.96 Sc.upf
Si 28.09 Si.upf
Ni 58.69 Ni.upf
CELL_PARAMETERS angstrom
5.077 -2.036 0.000
5.077 2.036 0.000
-4.439 0.000 12.332
ATOMIC_POSITIONS angstrom
Er 1.490 0.000 2.832
Er 4.225 0.000 9.500
Lu -3.050 0.000 11.344
Lu 8.765 0.000 0.988
Sc -1.402 0.000 4.715
Sc 7.117 0.000 7.617
Si 1.726 0.000 5.655
Si -0.182 0.000 11.390
Si 1.269 0.000 9.345
Si 4.446 0.000 2.988
Si 5.896 0.000 0.943
Si 3.988 0.000 6.677
Ni -0.068 0.000 7.296
Ni 5.782 0.000 5.036
! * total magnetization: 0.0 μB per formula unit
! * polymorph energy (0 for the lowest one): 0.016 eV per atom
! * total DFT energy (no corrections): -86.1 eV for the cell shown



! ErLu6Ni2Se2 | the Open Quantum Materials Database | GGA-PBE | relaxed; values from VASP
&SYSTEM
  ibrav = 0, nat = 11, ntyp = 4
/
ATOMIC_SPECIES
Er 167.26 Er.upf
Lu 174.97 Lu.upf
Ni 58.69 Ni.upf
Se 78.96 Se.upf
CELL_PARAMETERS angstrom
-1.872 7.375 4.580
1.872 -7.375 4.580
1.872 7.375 -4.580
ATOMIC_POSITIONS angstrom
Er 0.000 0.000 0.000
Lu 1.872 2.711 -1.106
Lu 1.872 -2.079 2.187
Lu 1.872 2.079 2.187
Lu 1.872 5.500 0.782
Lu 0.000 4.665 3.474
Lu 0.000 1.876 5.363
Ni 0.000 3.503 0.681
Ni 0.000 11.248 0.681
Se 0.000 0.000 3.128
Se 0.000 7.375 2.191
! * total magnetization: 0.0 μB per formula unit
! * total DFT energy (no corrections): -58.9 eV for the cell shown



! Er4TmLu2Ni2Se2 | the Open Quantum Materials Database | GGA-PBE | relaxed; values from VASP
&SYSTEM
  ibrav = 0, nat = 11, ntyp = 5
/
ATOMIC_SPECIES
Er 167.26 Er.upf
Tm 168.93 Tm.upf
Lu 174.97 Lu.upf
Ni 58.69 Ni.upf
Se 78.96 Se.upf
CELL_PARAMETERS angstrom
-1.877 7.405 4.616
1.877 -7.405 4.616
1.877 7.405 -4.616
ATOMIC_POSITIONS angstrom
Er 0.000 1.882 0.000
Er 0.000 5.318 1.411
Er 0.000 9.493 1.411
Er 0.000 12.928 0.000
Tm 0.000 0.000 3.833
Lu 1.877 -2.705 2.717
Lu 1.877 2.705 2.717
Ni 1.877 3.905 -0.116
Ni 0.000 3.500 4.500
Se 1.877 0.000 1.437
Se 0.000 0.000 6.971
! * total magnetization: 0.0 μB per formula unit
! * total DFT energy (no corrections): -58.9 eV for the cell shown



! YEr2Lu4Ni2Se2 | the Open Quantum Materials Database | GGA-PBE | relaxed; values from VASP
&SYSTEM
  ibrav = 0, nat = 11, ntyp = 5
/
ATOMIC_SPECIES
Y 88.91 Y.upf
Er 167.26 Er.upf
Lu 174.97 Lu.upf
Ni 58.69 Ni.upf
Se 78.96 Se.upf
CELL_PARAMETERS angstrom
-1.884 7.441 4.587
1.884 -7.441 4.587
1.884 7.441 -4.587
ATOMIC_POSITIONS angstrom
Y 0.000 0.000 0.000
Er 0.000 5.324 2.368
Er 0.000 9.558 2.368
Lu 1.884 5.557 -0.804
Lu 1.884 2.733 1.086
Lu 0.000 1.884 3.783
Lu 0.000 4.708 5.673
Ni 1.884 -3.870 3.898
Ni 1.884 3.870 3.898
Se 1.884 0.000 2.390
Se 0.000 0.000 6.032
! * total magnetization: 0.0 μB per formula unit
! * total DFT energy (no corrections): -60.9 eV for the cell shown



! ErLuSi2Ni | the Open Quantum Materials Database | GGA-PBE | relaxed; values from VASP
&SYSTEM
  ibrav = 0, nat = 10, ntyp = 4
/
ATOMIC_SPECIES
Er 167.26 Er.upf
Lu 174.97 Lu.upf
Si 28.09 Si.upf
Ni 58.69 Ni.upf
CELL_PARAMETERS angstrom
5.043 -2.064 0.000
5.043 2.064 0.000
-4.636 0.000 8.690
ATOMIC_POSITIONS angstrom
Er 1.413 0.000 0.920
Er 4.036 0.000 7.770
Lu -1.461 0.000 2.867
Lu 6.910 0.000 5.823
Si 1.547 0.000 3.799
Si 4.379 0.000 1.056
Si 1.070 0.000 7.634
Si 3.902 0.000 4.891
Ni -0.226 0.000 5.582
Ni 5.675 0.000 3.108
! * total magnetization: 0.4 μB per formula unit
! * total DFT energy (no corrections): -59.3 eV for the cell shown



! ErLuSi4Ni2 | the Open Quantum Materials Database | GGA-PBE | relaxed; values from VASP
&SYSTEM
  ibrav = 0, nat = 16, ntyp = 4
/
ATOMIC_SPECIES
Er 167.26 Er.upf
Lu 174.97 Lu.upf
Si 28.09 Si.upf
Ni 58.69 Ni.upf
CELL_PARAMETERS angstrom
3.931 0.000 0.000
0.000 3.922 0.000
0.000 0.000 16.424
ATOMIC_POSITIONS angstrom
Er 0.000 0.000 0.000
Er 0.000 1.961 8.212
Lu 1.965 0.000 3.457
Lu 1.965 1.961 11.669
Si 0.000 0.000 5.829
Si 0.000 0.000 10.591
Si 0.000 1.961 2.379
Si 0.000 1.961 14.041
Si 1.965 0.000 9.292
Si 1.965 0.000 14.032
Si 1.965 1.961 1.080
Si 1.965 1.961 5.820
Ni 0.000 0.000 12.823
Ni 0.000 1.961 4.611
Ni 1.965 0.000 7.043
Ni 1.965 1.961 15.255
! * total magnetization: 0.0 μB per formula unit
! * total DFT energy (no corrections): -96.8 eV for the cell shown



! Er5Lu2Ni2Te2 | the Open Quantum Materials Database | GGA-PBE | relaxed; values from VASP
&SYSTEM
  ibrav = 0, nat = 11, ntyp = 4
/
ATOMIC_SPECIES
Er 167.26 Er.upf
Lu 174.97 Lu.upf
Ni 58.69 Ni.upf
Te 127.60 Te.upf
CELL_PARAMETERS angstrom
-1.912 7.690 4.730
1.912 -7.690 4.730
1.912 7.690 -4.730
ATOMIC_POSITIONS angstrom
Er 0.000 0.000 0.000
Er 1.912 -2.254 2.166
Er 1.912 2.254 2.166
Er 1.912 5.620 0.775
Er 0.000 2.070 5.505
Lu 1.912 2.850 -1.167
Lu 0.000 4.840 3.562
Ni 0.000 3.631 0.650
Ni 0.000 11.748 0.650
Te 0.000 0.000 3.202
Te 0.000 7.690 2.209
! * total magnetization: 0.0 μB per formula unit
! * polymorph energy (0 for the lowest one): 0.000 eV per atom
! * total DFT energy (no corrections): -56.8 eV for the cell shown



! Er5Lu2Ni2Te2 | the Open Quantum Materials Database | GGA-PBE | relaxed; values from VASP
&SYSTEM
  ibrav = 0, nat = 11, ntyp = 4
/
ATOMIC_SPECIES
Er 167.26 Er.upf
Lu 174.97 Lu.upf
Ni 58.69 Ni.upf
Te 127.60 Te.upf
CELL_PARAMETERS angstrom
-1.910 7.675 4.724
1.910 -7.675 4.724
1.910 7.675 -4.724
ATOMIC_POSITIONS angstrom
Er 0.000 0.000 0.000
Er 1.910 5.609 -0.771
Er 1.910 2.847 1.170
Er 0.000 2.066 3.953
Er 0.000 4.828 5.894
Lu 0.000 5.426 2.566
Lu 0.000 9.923 2.566
Ni 1.910 -4.052 4.075
Ni 1.910 4.052 4.075
Te 1.910 0.000 2.524
Te 0.000 0.000 6.253
! * total magnetization: 0.0 μB per formula unit
! * polymorph energy (0 for the lowest one): 0.011 eV per atom
! * total DFT energy (no corrections): -56.7 eV for the cell shown



! Er5Lu2Ni2Te2 | the Open Quantum Materials Database | GGA-PBE | relaxed; values from VASP
&SYSTEM
  ibrav = 0, nat = 11, ntyp = 4
/
ATOMIC_SPECIES
Er 167.26 Er.upf
Lu 174.97 Lu.upf
Ni 58.69 Ni.upf
Te 127.60 Te.upf
CELL_PARAMETERS angstrom
-1.915 7.704 4.741
1.915 -7.704 4.741
1.915 7.704 -4.741
ATOMIC_POSITIONS angstrom
Er 0.000 0.000 0.000
Er 1.915 2.854 -1.175
Er 1.915 -2.255 2.172
Er 1.915 2.255 2.172
Er 0.000 4.849 3.566
Lu 1.915 5.629 0.777
Lu 0.000 2.074 5.517
Ni 0.000 3.645 0.652
Ni 0.000 11.762 0.652
Te 0.000 0.000 3.216
Te 0.000 7.704 2.203
! * total magnetization: 0.0 μB per formula unit
! * polymorph energy (0 for the lowest one): 0.008 eV per atom
! * total DFT energy (no corrections): -56.7 eV for the cell shown



! Er3Lu4Ni2Te2 | the Open Quantum Materials Database | GGA-PBE | relaxed; values from VASP
&SYSTEM
  ibrav = 0, nat = 11, ntyp = 4
/
ATOMIC_SPECIES
Er 167.26 Er.upf
Lu 174.97 Lu.upf
Ni 58.69 Ni.upf
Te 127.60 Te.upf
CELL_PARAMETERS angstrom
-1.908 7.657 4.717
1.908 -7.657 4.717
1.908 7.657 -4.717
ATOMIC_POSITIONS angstrom
Er 0.000 0.000 0.000
Er 0.000 5.410 2.555
Er 0.000 9.905 2.555
Lu 1.908 5.590 -0.774
Lu 1.908 2.838 1.165
Lu 0.000 2.067 3.943
Lu 0.000 4.819 5.882
Ni 1.908 -4.034 4.068
Ni 1.908 4.034 4.068
Te 1.908 0.000 2.521
Te 0.000 0.000 6.232
! * total magnetization: 0.0 μB per formula unit
! * polymorph energy (0 for the lowest one): 0.000 eV per atom
! * total DFT energy (no corrections): -56.7 eV for the cell shown



! Er3Lu4Ni2Te2 | the Open Quantum Materials Database | GGA-PBE | relaxed; values from VASP
&SYSTEM
  ibrav = 0, nat = 11, ntyp = 4
/
ATOMIC_SPECIES
Er 167.26 Er.upf
Lu 174.97 Lu.upf
Ni 58.69 Ni.upf
Te 127.60 Te.upf
CELL_PARAMETERS angstrom
-1.905 7.655 4.717
1.905 -7.655 4.717
1.905 7.655 -4.717
ATOMIC_POSITIONS angstrom
Er 0.000 0.000 0.000
Er 1.905 2.839 1.172
Er 0.000 4.817 5.889
Lu 1.905 5.594 -0.768
Lu 0.000 2.061 3.949
Lu 0.000 5.413 2.562
Lu 0.000 9.898 2.562
Ni 1.905 -4.036 4.065
Ni 1.905 4.036 4.065
Te 1.905 0.000 2.529
Te 0.000 0.000 6.238
! * total magnetization: 0.0 μB per formula unit
! * polymorph energy (0 for the lowest one): 0.011 eV per atom
! * total DFT energy (no corrections): -56.6 eV for the cell shown



! Er4Lu3Ni2Te2 | the Open Quantum Materials Database | GGA-PBE | relaxed; values from VASP
&SYSTEM
  ibrav = 0, nat = 11, ntyp = 4
/
ATOMIC_SPECIES
Er 167.26 Er.upf
Lu 174.97 Lu.upf
Ni 58.69 Ni.upf
Te 127.60 Te.upf
CELL_PARAMETERS angstrom
-1.903 7.673 4.737
1.903 -7.673 4.737
1.903 7.673 -4.737
ATOMIC_POSITIONS angstrom
Er 0.000 2.238 0.000
Er 1.903 4.838 -1.404
Er 0.000 2.835 3.334
Er 0.000 13.108 0.000
Lu 1.903 0.000 2.164
Lu 0.000 5.606 1.390
Lu 0.000 9.740 1.390
Ni 1.903 3.643 1.505
Ni 0.000 4.030 6.242
Te 0.000 0.000 4.703
Te 0.000 7.673 3.680
! * total magnetization: 0.0 μB per formula unit
! * polymorph energy (0 for the lowest one): 0.008 eV per atom
! * total DFT energy (no corrections): -56.6 eV for the cell shown



! Er4Lu3Ni2Te2 | the Open Quantum Materials Database | GGA-PBE | relaxed; values from VASP
&SYSTEM
  ibrav = 0, nat = 11, ntyp = 4
/
ATOMIC_SPECIES
Er 167.26 Er.upf
Lu 174.97 Lu.upf
Ni 58.69 Ni.upf
Te 127.60 Te.upf
CELL_PARAMETERS angstrom
-1.909 7.694 4.738
1.909 -7.694 4.738
1.909 7.694 -4.738
ATOMIC_POSITIONS angstrom
Er 0.000 2.067 0.000
Er 1.909 -2.251 3.348
Er 1.909 2.251 3.348
Er 0.000 13.321 0.000
Lu 0.000 4.849 1.940
Lu 0.000 0.000 5.513
Lu 0.000 10.538 1.940
Ni 1.909 4.064 0.126
Ni 0.000 3.630 4.864
Te 0.000 0.000 2.311
Te 0.000 7.694 3.290
! * total magnetization: 0.0 μB per formula unit
! * polymorph energy (0 for the lowest one): 0.000 eV per atom
! * total DFT energy (no corrections): -56.7 eV for the cell shown



! Er3Lu4Ni2Te2 | the Open Quantum Materials Database | GGA-PBE | relaxed; values from VASP
&SYSTEM
  ibrav = 0, nat = 11, ntyp = 4
/
ATOMIC_SPECIES
Er 167.26 Er.upf
Lu 174.97 Lu.upf
Ni 58.69 Ni.upf
Te 127.60 Te.upf
CELL_PARAMETERS angstrom
-1.907 7.664 4.721
1.907 -7.664 4.721
1.907 7.664 -4.721
ATOMIC_POSITIONS angstrom
Er 0.000 0.000 0.000
Er 1.907 5.600 -0.769
Er 0.000 2.064 3.952
Lu 1.907 2.844 1.166
Lu 0.000 5.414 2.566
Lu 0.000 9.914 2.566
Lu 0.000 4.821 5.887
Ni 1.907 -4.051 4.070
Ni 1.907 4.051 4.070
Te 1.907 0.000 2.516
Te 0.000 0.000 6.254
! * total magnetization: 0.0 μB per formula unit
! * polymorph energy (0 for the lowest one): 0.002 eV per atom
! * total DFT energy (no corrections): -56.7 eV for the cell shown